# SnBAs2, optimized geometry, DFT PBE
data_SnBAs2
_chemical_formula_sum 'Sn4 B4 As8'
_cell_length_a 6.000
_cell_length_b 6.000
_cell_length_c 9.109
_cell_angle_alpha 90.00
_cell_angle_beta 90.00
_cell_angle_gamma 90.00
_symmetry_space_group_name_H-M 'I -4 2 d'
_symmetry_Int_Tables_number 122
_symmetry_space_group_name_Hall 'I -4 2bw'
loop_
_atom_site_label
_atom_site_type_symbol
_atom_site_fract_x
_atom_site_fract_y
_atom_site_fract_z
_atom_site_occupancy
Sn1 Sn 0.000 0.000 0.000 1
B1 B 0.000 0.000 0.500 1
As1 As 0.158 0.250 0.625 1
# energy relative to the elements: 211 meV/atom
# M_tot: 0.00 μB per formula unit
# density: 5.66 Mg/m³
# polymorph energy (0 for the lowest one): 0.0 kJ/mol of atoms
# total DFT energy (no corrections): -76.5 eV per cell